Run 1
! Mo3IrSe | Alexandria | GGA-PBE | relaxed; values from VASP
! Total magnetization   0.0000 μB/atom
! Symmetry   Pm-3m
&SYSTEM
  ibrav = 0, nat = 5, ntyp = 3
/
ATOMIC_SPECIES
Mo 95.94 Mo.upf
Ir 192.22 Ir.upf
Se 78.96 Se.upf
CELL_PARAMETERS angstrom
4.526 0.000 0.000
0.000 4.526 0.000
0.000 0.000 4.526
ATOMIC_POSITIONS angstrom
Mo 0.000 2.263 0.000
Mo 0.000 0.000 2.263
Mo 2.263 0.000 0.000
Ir 2.263 2.263 2.263
Se 0.000 0.000 0.000

=====

Run 2
! Mo3IrSe | Alexandria | GGA-PBE | relaxed; values from VASP
! Total magnetization   0.0000 μB/atom
! Symmetry   Pm-3m
&SYSTEM
  ibrav = 0, nat = 5, ntyp = 3
/
ATOMIC_SPECIES
Mo 95.94 Mo.upf
Ir 192.22 Ir.upf
Se 78.96 Se.upf
CELL_PARAMETERS angstrom
-0.621 3.243 -3.446
-3.928 -2.292 -1.449
-2.640 2.647 2.967
ATOMIC_POSITIONS angstrom
Mo -1.964 -1.146 -0.725
Mo -1.320 1.324 1.484
Mo -0.310 1.622 -1.723
Ir 0.000 0.000 0.000
Se -3.594 1.800 -0.964

=====

Stability, descending: run 1, run 2

=====

Run 1
! MoIr3Se | Alexandria | GGA-PBE | relaxed; values from VASP
! Total magnetization   0.7764 μB/atom
! Symmetry   Pm-3m
&SYSTEM
  ibrav = 0, nat = 5, ntyp = 3
/
ATOMIC_SPECIES
Mo 95.94 Mo.upf
Ir 192.22 Ir.upf
Se 78.96 Se.upf
CELL_PARAMETERS angstrom
-2.473 0.205 -3.835
1.586 -4.099 -1.242
-3.498 -2.004 2.148
ATOMIC_POSITIONS angstrom
Mo -2.192 -2.949 -1.465
Ir 0.793 -2.050 -0.621
Ir -1.749 -1.002 1.074
Ir -1.236 0.103 -1.918
Se 0.000 0.000 0.000

=====

Run 2
! MoIr3Se | Alexandria | GGA-PBE | relaxed; values from VASP
! Total magnetization   0.0000 μB/atom
! Symmetry   Pm-3m
&SYSTEM
  ibrav = 0, nat = 5, ntyp = 3
/
ATOMIC_SPECIES
Mo 95.94 Mo.upf
Ir 192.22 Ir.upf
Se 78.96 Se.upf
CELL_PARAMETERS angstrom
-3.737 -1.881 2.223
1.608 -4.348 -0.976
2.428 -0.015 4.068
ATOMIC_POSITIONS angstrom
Mo 0.000 0.000 0.000
Ir 0.804 -2.174 -0.488
Ir 1.214 -0.007 2.034
Ir -1.868 -0.940 1.112
Se 0.150 -3.122 2.658

=====

Stability, descending: run 1, run 2

=====

Run 1
! SiMoIr3 | Alexandria | GGA-PBE | relaxed; values from VASP
! Total magnetization   0.0000 μB/atom
! Symmetry   Pm-3m
&SYSTEM
  ibrav = 0, nat = 5, ntyp = 3
/
ATOMIC_SPECIES
Mo 95.94 Mo.upf
Ir 192.22 Ir.upf
Si 28.09 Si.upf
CELL_PARAMETERS angstrom
-0.105 -3.539 3.131
4.680 -0.510 -0.419
0.652 3.091 3.515
ATOMIC_POSITIONS angstrom
Mo 0.000 0.000 0.000
Ir 2.340 -0.255 -0.210
Ir 0.326 1.546 1.758
Ir -0.053 -1.769 1.566
Si 2.613 -0.479 3.114

=====

Run 2
! SiMoIr3 | Alexandria | GGA-PBE | relaxed; values from VASP
! Total magnetization   0.5997 μB/atom
! Symmetry   Pm-3m
&SYSTEM
  ibrav = 0, nat = 5, ntyp = 3
/
ATOMIC_SPECIES
Mo 95.94 Mo.upf
Ir 192.22 Ir.upf
Si 28.09 Si.upf
CELL_PARAMETERS angstrom
-0.582 -2.789 -3.361
2.364 -3.052 2.123
-3.672 -1.523 1.900
ATOMIC_POSITIONS angstrom
Mo -0.945 -3.682 0.331
Ir 1.182 -1.526 1.062
Ir -1.836 -0.761 0.950
Ir -0.291 -1.394 -1.680
Si 0.000 0.000 0.000

=====

Stability, descending: run 2, run 1